# 1
## TmCuS2 (PBE)

Data for an optimized crystal structure of TmCuS2.

Summary:
- Total magnetization: 0.00 Bohr magnetons per cell
- Volume: 321.7 Å³/cell
- Uncorrected energy: -0.4108 Ry/atom
- Uncorrected formation energy: -1384 meV/atom

Unit cell a=13.9570 b=3.8780 c=6.7666 alpha=90.00 beta=118.55 gamma=90.00
Positions (direct):
Tm: 0.2478 0.0000 0.2512
Tm: 0.2522 0.5000 0.7488
Tm: 0.7478 0.5000 0.2512
Tm: 0.7522 0.0000 0.7488
Cu: 0.0605 0.0000 0.3907
Cu: 0.4395 0.5000 0.6093
Cu: 0.5605 0.5000 0.3907
Cu: 0.9395 0.0000 0.6093
S: 0.1236 0.5000 0.2986
S: 0.1298 0.0000 0.7927
S: 0.3702 0.5000 0.2073
S: 0.3764 0.0000 0.7014
S: 0.6236 0.0000 0.2986
S: 0.6298 0.5000 0.7927
S: 0.8702 0.0000 0.2073
S: 0.8764 0.5000 0.7014



# 2
## KCdTe (PBE)

Data for an optimized crystal structure of KCdTe.

Summary:
- Total magnetization: 0.00 Bohr magnetons per cell
- Volume: 115.9 Å³/cell
- Uncorrected energy: -0.1607 Ry/atom
- Distance to the lowest polymorph of the same formula: 138 meV per atom
- Uncorrected formation energy: -468 meV/atom

Unit cell a=5.2316 b=5.2316 c=4.8901 alpha=90.00 beta=90.00 gamma=120.00
Positions (direct):
K: 0.0000 0.0000 0.0000
Cd: 0.3333 0.6667 0.5000
Te: 0.6667 0.3333 0.5000



# 3
## Pm3Pr4Sm2 (PBE)

Data for an optimized crystal structure of Pm3Pr4Sm2.

Summary:
- Total magnetization: 0.00 Bohr magnetons per cell
- Volume: 315.9 Å³/cell
- ΔE_f: 0.013 eV/atom
- Uncorrected energy: -0.3486 Ry/atom
- Distance to the lowest polymorph of the same formula: 0 meV per atom

Unit cell a=6.3646 b=6.3673 c=9.7143 alpha=90.01 beta=109.03 gamma=119.98
Positions (direct):
Pm: 0.0000 0.0000 0.0000
Pm: 0.4453 0.5563 0.6659
Pm: 0.5547 0.4437 0.3341
Pr: 0.1106 0.8884 0.6657
Pr: 0.3326 0.6660 0.0000
Pr: 0.6674 0.3340 0.0000
Pr: 0.8894 0.1116 0.3343
Sm: 0.2231 0.7784 0.3342
Sm: 0.7769 0.2216 0.6658



# 4
## MnBiSe2 (PBE)

Data for an optimized crystal structure of MnBiSe2.

Summary:
- Total magnetization: 0.00 Bohr magnetons per cell
- Volume: 414.5 Å³/cell
- Uncorrected energy: -0.3596 Ry/atom
- Uncorrected formation energy: 113 meV/atom

Unit cell a=6.4335 b=6.4335 c=10.0141 alpha=90.00 beta=90.00 gamma=90.00
Positions (direct):
Mn: 0.0000 0.0000 0.0000
Mn: 0.0000 0.5000 0.2500
Mn: 0.5000 0.0000 0.7500
Mn: 0.5000 0.5000 0.5000
Bi: 0.0000 0.0000 0.5000
Bi: 0.0000 0.5000 0.7500
Bi: 0.5000 0.0000 0.2500
Bi: 0.5000 0.5000 0.0000
Se: 0.1582 0.2500 0.1250
Se: 0.2500 0.6582 0.3750
Se: 0.2500 0.8418 0.8750
Se: 0.3418 0.2500 0.6250
Se: 0.6582 0.7500 0.6250
Se: 0.7500 0.1582 0.8750
Se: 0.7500 0.3418 0.3750
Se: 0.8418 0.7500 0.1250



# 5
## Ce3SnH3 (PBE)

Data for an optimized crystal structure of Ce3SnH3.

Summary:
- Total magnetization: 9.67 Bohr magnetons per cell
- Volume: 263.7 Å³/cell
- Uncorrected energy: -0.3714 Ry/atom
- Distance to the lowest polymorph of the same formula: 0 meV per atom

Unit cell a=6.4129 b=6.4129 c=6.4129 alpha=90.00 beta=90.00 gamma=90.00
Positions (direct):
Ce: 0.0000 0.2500 0.5000
Ce: 0.0000 0.7500 0.5000
Ce: 0.2500 0.5000 0.0000
Ce: 0.5000 0.0000 0.2500
Ce: 0.5000 0.0000 0.7500
Ce: 0.7500 0.5000 0.0000
Sn: 0.0000 0.0000 0.0000
Sn: 0.5000 0.5000 0.5000
H: 0.0000 0.5000 0.2500
H: 0.0000 0.5000 0.7500
H: 0.2500 0.0000 0.5000
H: 0.5000 0.2500 0.0000
H: 0.5000 0.7500 0.0000
H: 0.7500 0.0000 0.5000



# 6
## Hf2U (PBE)

Data for an optimized crystal structure of Hf2U.

Summary:
- Total magnetization: 2.07 Bohr magnetons per cell
- Volume: 69.0 Å³/cell
- ΔE_f: 0.319 eV/atom
- Uncorrected energy: -0.7408 Ry/atom

Unit cell a=5.1831 b=5.1831 c=2.9639 alpha=90.00 beta=90.00 gamma=120.00
Positions (direct):
Hf: 0.3333 0.6667 0.0000
Hf: 0.6667 0.3333 0.0000
U: 0.0000 0.0000 0.5000



# 7
## NiTeRu2 (PBE)

Data for an optimized crystal structure of NiTeRu2.

Summary:
- Total magnetization: 0.00 Bohr magnetons per cell
- Volume: 122.0 Å³/cell
- Uncorrected energy: -0.4832 Ry/atom
- Uncorrected formation energy: 295 meV/atom

Unit cell a=8.4064 b=3.0575 c=4.8612 alpha=90.00 beta=102.45 gamma=90.00
Positions (direct):
Ni: 0.0000 0.0000 0.0000
Ni: 0.5000 0.5000 0.0000
Te: 0.0000 0.5000 0.5000
Te: 0.5000 0.0000 0.5000
Ru: 0.2473 0.5000 0.2238
Ru: 0.2527 0.0000 0.7762
Ru: 0.7473 0.0000 0.2238
Ru: 0.7527 0.5000 0.7762



# 8
## CrRe2Te (PBE)

Data for an optimized crystal structure of CrRe2Te.

Summary:
- Total magnetization: 0.00 Bohr magnetons per cell
- Volume: 140.2 Å³/cell
- Uncorrected energy: -0.6519 Ry/atom
- Uncorrected formation energy: 545 meV/atom

Unit cell a=3.8646 b=2.9347 c=12.3629 alpha=90.00 beta=90.00 gamma=90.00
Positions (direct):
Cr: 0.0000 0.0000 0.0000
Cr: 0.0000 0.5000 0.5000
Re: 0.0000 0.0000 0.1851
Re: 0.0000 0.5000 0.6851
Re: 0.5000 0.0000 0.5930
Re: 0.5000 0.5000 0.0930
Te: 0.5000 0.0000 0.3729
Te: 0.5000 0.5000 0.8729



# 9
## LaFeTe2 (PBE)

Data for an optimized crystal structure of LaFeTe2.

Summary:
- Total magnetization: 6.10 Bohr magnetons per cell
- Volume: 213.8 Å³/cell
- Uncorrected energy: -0.3891 Ry/atom
- Uncorrected formation energy: -376 meV/atom

Unit cell a=4.7464 b=5.9582 c=7.5608 alpha=90.00 beta=90.00 gamma=90.00
Positions (direct):
La: 0.0000 0.0000 0.0000
La: 0.5000 0.5000 0.0000
Fe: 0.0000 0.0000 0.5000
Fe: 0.5000 0.5000 0.5000
Te: 0.0000 0.5000 0.2750
Te: 0.0000 0.5000 0.7250
Te: 0.5000 0.0000 0.2750
Te: 0.5000 0.0000 0.7250



# 10
## BeSiCl2 (PBE)

Data for an optimized crystal structure of BeSiCl2.

Summary:
- Total magnetization: 0.18 Bohr magnetons per cell
- Volume: 293.4 Å³/cell
- Uncorrected energy: -0.2630 Ry/atom
- Distance to the lowest polymorph of the same formula: 0 meV per atom
- Uncorrected formation energy: -368 meV/atom

Unit cell a=3.1010 b=3.1010 c=35.2241 alpha=90.00 beta=90.00 gamma=120.00
Positions (direct):
Be: 0.0000 0.0000 0.0000
Be: 0.3333 0.6667 0.6667
Be: 0.6667 0.3333 0.3333
Si: 0.0000 0.0000 0.5000
Si: 0.3333 0.6667 0.1667
Si: 0.6667 0.3333 0.8333
Cl: 0.0000 0.0000 0.2968
Cl: 0.0000 0.0000 0.7032
Cl: 0.3333 0.6667 0.3699
Cl: 0.3333 0.6667 0.9634
Cl: 0.6667 0.3333 0.0366
Cl: 0.6667 0.3333 0.6301



# 11
## RbRe2F (PBE)

Data for an optimized crystal structure of RbRe2F.

Summary:
- Total magnetization: 0.00 Bohr magnetons per cell
- Volume: 271.0 Å³/cell
- Uncorrected energy: -0.3111 Ry/atom
- Distance to the lowest polymorph of the same formula: 2440 meV per atom
- Uncorrected formation energy: 2701 meV/atom

Unit cell a=6.4715 b=6.4715 c=6.4715 alpha=90.00 beta=90.00 gamma=90.00
Positions (direct):
Rb: 0.0000 0.0000 0.0000
Rb: 0.0000 0.5000 0.5000
Rb: 0.5000 0.0000 0.5000
Rb: 0.5000 0.5000 0.0000
Re: 0.2500 0.2500 0.2500
Re: 0.2500 0.2500 0.7500
Re: 0.2500 0.7500 0.2500
Re: 0.2500 0.7500 0.7500
Re: 0.7500 0.2500 0.2500
Re: 0.7500 0.2500 0.7500
Re: 0.7500 0.7500 0.2500
Re: 0.7500 0.7500 0.7500
F: 0.0000 0.0000 0.5000
F: 0.0000 0.5000 0.0000
F: 0.5000 0.0000 0.0000
F: 0.5000 0.5000 0.5000



# 12
## MnV2Te5 (PBE)

Data for an optimized crystal structure of MnV2Te5.

Summary:
- Total magnetization: 14.23 Bohr magnetons per cell
- Volume: 469.8 Å³/cell
- Uncorrected energy: -0.4077 Ry/atom
- Distance to the lowest polymorph of the same formula: 0 meV per atom
- Uncorrected formation energy: -157 meV/atom

Unit cell a=7.2282 b=7.2282 c=12.9373 alpha=90.00 beta=90.00 gamma=135.97
Positions (direct):
Mn: 0.1968 0.8032 0.7500
Mn: 0.8032 0.1968 0.2500
V: 0.1495 0.8505 0.0598
V: 0.1495 0.8505 0.4402
V: 0.8505 0.1495 0.5598
V: 0.8505 0.1495 0.9402
Te: 0.0443 0.9557 0.6158
Te: 0.0443 0.9557 0.8842
Te: 0.2508 0.7492 0.2500
Te: 0.3144 0.6856 0.5712
Te: 0.3144 0.6856 0.9288
Te: 0.6856 0.3144 0.0712
Te: 0.6856 0.3144 0.4288
Te: 0.7492 0.2508 0.7500
Te: 0.9557 0.0443 0.1158
Te: 0.9557 0.0443 0.3842



# 13
## CeU2P2Ir7 (PBE)

Data for an optimized crystal structure of CeU2P2Ir7.

Summary:
- Total magnetization: 3.15 Bohr magnetons per cell
- Volume: 211.0 Å³/cell
- ΔE_f: -0.642 eV/atom
- Uncorrected energy: -0.6680 Ry/atom

Unit cell a=3.9898 b=3.9898 c=13.4438 alpha=96.76 beta=96.76 gamma=89.19
Positions (direct):
Ce: 0.0000 0.0000 0.0000
U: 0.1229 0.1229 0.3546
U: 0.8771 0.8771 0.6454
P: 0.3984 0.3984 0.7430
P: 0.6016 0.6016 0.2570
Ir: 0.0654 0.5646 0.1654
Ir: 0.3631 0.3631 0.5713
Ir: 0.4354 0.9346 0.8346
Ir: 0.5000 0.5000 0.0000
Ir: 0.5646 0.0654 0.1654
Ir: 0.6369 0.6369 0.4287
Ir: 0.9346 0.4354 0.8346